one:
Density functional theory data (GGA-PBE) for an optimized crystal structure of YSbCl3.

a b c (Å): 5.3924 5.3924 5.3924
angles (deg): 90.00 90.00 90.00
Last column: nearest neighbours and their distance in Å.
Sites, in units of the cell vectors:
Cl 0.5000 0.0000 0.0000  2 Y 2.70
Cl 0.0000 0.0000 0.5000  2 Y 2.70
Cl 0.0000 0.5000 0.0000  2 Y 2.70
Y 0.0000 0.0000 0.0000  6 Cl 2.70
Sb 0.5000 0.5000 0.5000  12 Cl 3.81

## Properties
mass density = 3.36 g/cm3
magnetization = 3.0 μB/f.u.



two:
Density functional theory data (GGA-PBE) for an optimized crystal structure of YSbCl3.

a b c (Å): 5.4791 5.4791 5.4791
angles (deg): 90.00 90.00 90.00
Last column: nearest neighbours and their distance in Å.
Sites, in units of the cell vectors:
Sb 0.0000 0.0000 0.0000  6 Cl 2.74
Cl 0.0000 0.5000 0.0000  2 Sb 2.74
Cl 0.5000 0.0000 0.0000  2 Sb 2.74
Cl 0.0000 0.0000 0.5000  2 Sb 2.74
Y 0.5000 0.5000 0.5000  12 Cl 3.87

## Properties
mass density = 3.20 g/cm3
magnetization = 1.7 μB/f.u.



Most stable = one



one:
Density functional theory data (GGA-PBE) for an optimized crystal structure of YSbCl.

a b c (Å): 3.8624 3.8624 7.6560
angles (deg): 90.00 90.00 120.00
Last column: nearest neighbours and their distance in Å.
Sites, in units of the cell vectors:
Cl 0.0000 0.0000 0.9025  3 Y 2.76
Sb 0.6667 0.3333 0.4072  3 Y 3.11
Y 0.3333 0.6667 0.6903  3 Cl 2.76

## Properties
mass density = 4.13 g/cm3
magnetization = 0.0 μB/f.u.



two:
Density functional theory data (GGA-PBE) for an optimized crystal structure of YSbCl.

a b c (Å): 4.9076 4.9076 3.6330
angles (deg): 90.00 90.00 120.00
Last column: nearest neighbours and their distance in Å.
Sites, in units of the cell vectors:
Y 0.3333 0.6667 0.8332  3 Cl 2.83
Cl 0.0000 0.0000 0.8335  3 Y 2.83
Sb 0.6667 0.3333 0.3333  6 Cl 3.37, 6 Y 3.37, 2 Sb 3.63

## Properties
mass density = 5.39 g/cm3
magnetization = 0.0 μB/f.u.



Most stable = one



one:
Density functional theory data (GGA-PBE) for an optimized crystal structure of YSbCl.

a b c (Å): 7.9968 7.9994 3.3800
angles (deg): 77.76 77.84 24.40
Last column: nearest neighbours and their distance in Å.
Sites, in units of the cell vectors:
Cl 0.0478 0.0478 0.9522  4 Y 2.87-2.88
Y 0.6521 0.6521 0.3479  4 Cl 2.87-2.88
Sb 0.3001 0.3001 0.6999  4 Y 3.29, 4 Sb 3.38

## Properties
mass density = 4.69 g/cm3
magnetization = 0.0 μB/f.u.



two:
Density functional theory data (GGA-PBE) for an optimized crystal structure of YSbCl.

a b c (Å): 5.0677 5.0677 5.0677
angles (deg): 60.00 60.00 60.00
Last column: nearest neighbours and their distance in Å.
Sites, in units of the cell vectors:
Y 0.2500 0.2500 0.2500  4 Cl 3.10, 4 Sb 3.10
Cl 0.0000 0.0000 0.0000  4 Y 3.10
Sb 0.5000 0.5000 0.5000  4 Y 3.10

## Properties
mass density = 4.44 g/cm3
magnetization = 0.7 μB/f.u.



Most stable = one



one:
Density functional theory data (GGA-PBE) for an optimized crystal structure of ZnSb2Cl.

a b c (Å): 6.6811 6.6811 6.6811
angles (deg): 150.11 138.47 52.01
Last column: nearest neighbours and their distance in Å.
Sites, in units of the cell vectors:
Sb 0.0565 0.0565 0.0000  2 Zn 2.89, 4 Sb 3.23
Sb 0.4435 0.4435 0.0000  2 Zn 2.89, 4 Sb 3.23
Cl 0.7500 0.2500 0.5000  4 Zn 2.93
Zn 0.2500 0.7500 0.5000  4 Sb 2.89, 4 Cl 2.93

## Properties
mass density = 5.83 g/cm3
magnetization = 0.0 μB/f.u.



two:
Density functional theory data (GGA-PBE) for an optimized crystal structure of ZnSb2Cl.

a b c (Å): 3.3227 3.3227 9.2140
angles (deg): 90.00 90.00 90.00
Last column: nearest neighbours and their distance in Å.
Sites, in units of the cell vectors:
Sb 0.0000 0.0000 0.0407  8 Sb 3.25-3.32
Sb 0.5000 0.5000 0.2845  4 Zn 3.16, 8 Sb 3.25-3.32, 1 Cl 3.46
Zn 0.0000 0.0000 0.5144  4 Cl 2.71
Cl 0.5000 0.5000 0.6605  4 Zn 2.71

## Properties
mass density = 5.62 g/cm3
magnetization = 0.0 μB/f.u.



three:
Density functional theory data (GGA-PBE) for an optimized crystal structure of ZnSb2Cl.

a b c (Å): 4.3202 5.3264 5.3200
angles (deg): 61.18 90.00 90.00
Last column: nearest neighbours and their distance in Å.
Sites, in units of the cell vectors:
Sb 0.0000 0.0703 0.0704  2 Zn 2.72, 2 Sb 3.00
Sb 0.0000 0.4297 0.4296  2 Zn 2.72, 2 Sb 3.00
Cl 0.5000 0.7500 0.7500  2 Zn 2.71
Zn 0.5000 0.2500 0.2500  2 Cl 2.71, 4 Sb 2.72

## Properties
mass density = 5.33 g/cm3
magnetization = 0.0 μB/f.u.



four:
Density functional theory data (GGA-PBE) for an optimized crystal structure of ZnSb2Cl.

a b c (Å): 9.0332 9.0332 9.0332
angles (deg): 25.05 25.05 25.05
Last column: nearest neighbours and their distance in Å.
Sites, in units of the cell vectors:
Sb 0.2397 0.2397 0.2397  3 Sb 2.91, 3 Zn 2.97
Sb 0.9760 0.9760 0.9760  3 Sb 2.91
Cl 0.7846 0.7846 0.7846  3 Zn 2.60
Zn 0.4998 0.4998 0.4998  3 Cl 2.60

## Properties
mass density = 4.92 g/cm3
magnetization = 0.0 μB/f.u.



Most stable = four



one:
Density functional theory data (GGA-PBE) for an optimized crystal structure of ZnSb2Cl.

a b c (Å): 5.7823 4.2248 4.2248
angles (deg): 90.00 90.00 90.00
Last column: nearest neighbours and their distance in Å.
Sites, in units of the cell vectors:
Sb 0.0000 0.5000 0.5000  4 Sb 2.99
Sb 0.0000 0.0000 0.0000  4 Sb 2.99
Cl 0.5000 0.0000 0.5000  4 Zn 2.99
Zn 0.5000 0.5000 0.0000  4 Cl 2.99

## Properties
mass density = 5.54 g/cm3
magnetization = 0.0 μB/f.u.



two:
Density functional theory data (GGA-PBE) for an optimized crystal structure of ZnSb2Cl.

a b c (Å): 5.1076 5.1069 5.0983
angles (deg): 74.29 68.67 111.40
Last column: nearest neighbours and their distance in Å.
Sites, in units of the cell vectors:
Zn 0.5000 0.5000 0.0000  4 Sb 2.88, 2 Cl 3.08
Sb 0.0000 0.0000 0.0000  2 Cl 2.88, 2 Zn 2.88, 2 Sb 3.08
Sb 0.0000 0.5000 0.5000  2 Zn 2.88, 2 Cl 2.88, 2 Sb 3.08
Cl 0.5000 0.0000 0.5000  4 Sb 2.88, 2 Zn 3.08

## Properties
mass density = 5.60 g/cm3
magnetization = 0.0 μB/f.u.



Most stable = two



one:
Density functional theory data (GGA-PBE) for an optimized crystal structure of ZnSbCl.

a b c (Å): 8.5885 8.1183 3.6457
angles (deg): 84.73 70.26 25.00
Last column: nearest neighbours and their distance in Å.
Sites, in units of the cell vectors:
Zn 0.6545 0.6545 0.3455  2 Cl 2.34
Sb 0.2953 0.2953 0.7047  2 Zn 2.78
Cl 0.0503 0.0503 0.9497  2 Zn 2.34

## Properties
mass density = 4.34 g/cm3
magnetization = 0.0 μB/f.u.



two:
Density functional theory data (GGA-PBE) for an optimized crystal structure of ZnSbCl.

a b c (Å): 4.8513 4.8513 3.3914
angles (deg): 90.00 90.00 120.00
Last column: nearest neighbours and their distance in Å.
Sites, in units of the cell vectors:
Cl 0.0000 0.0000 0.9999  6 Zn 3.27, 6 Sb 3.27, 2 Cl 3.39
Sb 0.3333 0.6667 0.4998  3 Zn 2.80
Zn 0.6667 0.3333 0.5003  3 Sb 2.80

## Properties
mass density = 5.35 g/cm3
magnetization = 0.0 μB/f.u.



three:
Density functional theory data (GGA-PBE) for an optimized crystal structure of ZnSbCl.

a b c (Å): 4.8727 4.8727 4.8727
angles (deg): 60.00 60.00 60.00
Last column: nearest neighbours and their distance in Å.
Sites, in units of the cell vectors:
Cl 0.5000 0.5000 0.5000  4 Sb 2.98
Sb 0.7500 0.7500 0.7500  4 Cl 2.98, 4 Zn 2.98
Zn 0.0000 0.0000 0.0000  4 Sb 2.98

## Properties
mass density = 4.52 g/cm3
magnetization = 0.0 μB/f.u.



four:
Density functional theory data (GGA-PBE) for an optimized crystal structure of ZnSbCl.

a b c (Å): 3.4266 3.4266 7.6671
angles (deg): 90.00 90.00 120.00
Last column: nearest neighbours and their distance in Å.
Sites, in units of the cell vectors:
Cl 0.0000 0.0000 0.8889  3 Zn 2.47
Sb 0.3333 0.6667 0.4146  3 Zn 2.93
Zn 0.6667 0.3333 0.6965  3 Cl 2.47

## Properties
mass density = 4.74 g/cm3
magnetization = 0.0 μB/f.u.



Most stable = four